No. 1
Here is crystalline Y2ReW at its relaxed geometry from Alexandria. Energies are from PBE.

Unit cell a=9.8072 b=9.8072 c=9.8072 alpha=18.56 beta=18.56 gamma=18.56
With the nearest neighbours (Å) after each atom.
Fractional coordinates of all 4 atoms:
W 0.7500 0.7500 0.7500  6 Y 3.12, 6 W 3.16
Re 0.2500 0.2500 0.2500  6 Y 2.93, 6 Re 3.16
Y 0.9959 0.9959 0.9959  3 Re 2.93, 3 W 3.12, 6 Y 3.16
Y 0.5041 0.5041 0.5041  3 Re 2.93, 3 W 3.12, 6 Y 3.16

Values from the calculation:
Its crystal system is trigonal. As for the energy relative to the elements: 805 meV/atom. The space group is R-3m (166).

=====

No. 2
Here is crystalline YRe2W at its relaxed geometry from Alexandria. Energies are from PBE.

Unit cell a=3.2200 b=4.7141 c=4.5744 alpha=90.00 beta=90.00 gamma=90.00
With the nearest neighbours (Å) after each atom.
Fractional coordinates of all 4 atoms:
Re 0.0000 0.0000 0.0000  4 W 2.80, 4 Re 2.85
Y 0.0000 0.5000 0.5000  4 Re 2.80, 4 W 2.85
W 0.5000 0.0000 0.5000  4 Re 2.80, 4 Y 2.85
Re 0.5000 0.5000 0.0000  4 Y 2.80, 4 Re 2.85

Values from the calculation:
Its crystal system is orthorhombic. As for the energy relative to the elements: 463 meV/atom. The space group is Pmmm (47).

=====

No. 3
Here is crystalline YReW2 at its relaxed geometry from Alexandria. Energies are from PBE.

Unit cell a=3.1959 b=3.1959 c=7.2395 alpha=90.00 beta=90.00 gamma=90.00
With the nearest neighbours (Å) after each atom.
Fractional coordinates of all 4 atoms:
Re 0.5000 0.5000 0.7926  4 W 2.69
W 0.5000 0.5000 0.2094  4 W 2.74, 1 Re 3.02
W 0.0000 0.0000 0.9950  4 Re 2.69, 4 W 2.74
Y 0.0000 0.0000 0.5029  4 Re 3.08, 4 W 3.10, 4 Y 3.20

Values from the calculation:
Its crystal system is tetragonal. As for the energy relative to the elements: 287 meV/atom. The space group is P4mm (99).

=====

No. 4
Here is crystalline Y2ReW at its relaxed geometry from Alexandria. Energies are from PBE.

Unit cell a=2.9710 b=2.9710 c=9.6918 alpha=90.00 beta=90.00 gamma=108.59
With the nearest neighbours (Å) after each atom.
Fractional coordinates of all 4 atoms:
Re 0.5000 0.5000 0.2500  4 Y 2.91, 4 Re 2.97
W 0.5000 0.5000 0.7500  4 W 2.97, 4 Y 3.05
Y 0.0000 0.0000 0.0095  2 Re 2.91, 4 Y 2.97, 2 W 3.05
Y 0.0000 0.0000 0.4905  2 Re 2.91, 4 Y 2.97, 2 W 3.05

Values from the calculation:
Its crystal system is orthorhombic. As for the energy relative to the elements: 630 meV/atom. The space group is Cmmm (65).

=====

No. 5
Here is crystalline YRe2W at its relaxed geometry from Alexandria. Energies are from PBE.

Unit cell a=7.4650 b=7.4650 c=5.9871 alpha=51.43 beta=51.43 gamma=90.00
With the nearest neighbours (Å) after each atom.
Fractional coordinates of all 8 atoms:
Y 0.2500 0.7500 0.5000  2 W 2.83, 4 Re 2.95
Re 0.6668 0.1250 0.2500  2 W 2.53
Re 0.3750 0.3332 0.7500  2 W 2.53
W 0.0000 0.0000 0.0000  4 Re 2.53, 2 Y 2.83
Re 0.0832 0.6250 0.2500  2 W 2.53
W 0.7500 0.2500 0.5000  4 Re 2.53, 2 Y 2.83
Y 0.5000 0.5000 0.0000  2 W 2.83, 4 Re 2.95
Re 0.8750 0.9168 0.7500  2 W 2.53

Values from the calculation:
Its crystal system is tetragonal. As for the energy relative to the elements: 825 meV/atom. The space group is I-42d (122).

=====

No. 6
Here is crystalline YReW2 at its relaxed geometry from Alexandria. Energies are from PBE.

Unit cell a=4.5964 b=2.8702 c=5.4922 alpha=79.09 beta=90.00 gamma=90.00
With the nearest neighbours (Å) after each atom.
Fractional coordinates of all 4 atoms:
Y 0.5000 0.2500 0.2500  2 Re 2.85, 2 Y 2.87, 4 W 2.90
Re 0.5000 0.7500 0.7500  4 W 2.78, 2 Y 2.85, 2 Re 2.87
W 0.0000 0.9836 0.9837  4 W 2.73-2.98, 2 Re 2.78, 2 Y 2.90
W 0.0000 0.5164 0.5163  4 W 2.73-2.98, 2 Re 2.78, 2 Y 2.90

Values from the calculation:
Its crystal system is monoclinic. As for the energy relative to the elements: 426 meV/atom. The space group is P2/m (10).

=====

No. 7
Here is crystalline YRe2W at its relaxed geometry from Alexandria. Energies are from PBE.

Unit cell a=4.2711 b=2.9225 c=6.0081 alpha=77.45 beta=90.00 gamma=90.00
With the nearest neighbours (Å) after each atom.
Fractional coordinates of all 4 atoms:
Re 0.0000 0.4584 0.4531  2 W 2.60, 1 Re 2.66
Re 0.0000 0.0416 0.0469  2 W 2.60, 1 Re 2.66
Y 0.5000 0.7500 0.7500  2 Y 2.92, 8 Re 3.02-3.23, 2 W 3.04
W 0.5000 0.2500 0.2500  4 Re 2.60

Values from the calculation:
Its crystal system is monoclinic. As for the energy relative to the elements: 358 meV/atom. The space group is P2/m (10).

=====

No. 8
Here is crystalline YReW2 at its relaxed geometry from Alexandria. Energies are from PBE.

Unit cell a=4.5346 b=2.8454 c=5.6110 alpha=80.82 beta=90.00 gamma=90.00
With the nearest neighbours (Å) after each atom.
Fractional coordinates of all 4 atoms:
W 0.0000 0.9996 0.9988  2 Re 2.74, 4 W 2.74-2.85, 2 Y 2.92-2.96
Y 0.0000 0.5013 0.5031  2 Y 2.85, 2 Re 2.88, 4 W 2.91-2.96
W 0.5000 0.2380 0.2272  4 W 2.74-2.85, 1 Re 2.75, 2 Y 2.91
Re 0.5000 0.7612 0.7710  3 W 2.74-2.75, 2 Re 2.85, 2 Y 2.88

Values from the calculation:
Its crystal system is monoclinic. As for the energy relative to the elements: 423 meV/atom. The space group is Pm (6).

=====

No. 9
Here is crystalline Y2ReW at its relaxed geometry from Alexandria. Energies are from PBE.

Unit cell a=3.4649 b=4.7708 c=4.8833 alpha=90.00 beta=90.00 gamma=90.00
With the nearest neighbours (Å) after each atom.
Fractional coordinates of all 4 atoms:
Y 0.0000 0.0000 0.0000  4 Y 2.95, 4 Re 2.99
W 0.0000 0.5000 0.5000  4 Re 2.95, 4 Y 2.99
Re 0.5000 0.0000 0.5000  4 W 2.95, 4 Y 2.99
Y 0.5000 0.5000 0.0000  4 Y 2.95, 4 W 2.99

Values from the calculation:
Its crystal system is orthorhombic. As for the energy relative to the elements: 615 meV/atom. The space group is Pmmm (47).

=====

No. 10
Here is crystalline YRe2W at its relaxed geometry from Alexandria. Energies are from PBE.

Unit cell a=2.8275 b=2.8275 c=9.3009 alpha=90.00 beta=90.00 gamma=110.74
With the nearest neighbours (Å) after each atom.
Fractional coordinates of all 4 atoms:
Y 0.5000 0.5000 0.7500  4 Y 2.83, 4 Re 2.99
Re 0.0000 0.0000 0.0217  2 W 2.66, 4 Re 2.83
W 0.5000 0.5000 0.2500  4 Re 2.66, 4 W 2.83
Re 0.0000 0.0000 0.4783  2 W 2.66, 4 Re 2.83

Values from the calculation:
Its crystal system is orthorhombic. As for the energy relative to the elements: 332 meV/atom. The space group is Cmmm (65).

=====

No. 11
Here is crystalline Y2ReW at its relaxed geometry from Alexandria. Energies are from PBE.

Unit cell a=5.9806 b=5.9806 c=5.0550 alpha=65.03 beta=65.03 gamma=33.47
With the nearest neighbours (Å) after each atom.
Fractional coordinates of all 4 atoms:
W 0.2072 0.2072 0.2927  2 Re 2.49
Y 0.9905 0.9905 0.0095  4 Re 3.09, 6 Y 3.34-3.44, 4 W 3.37-3.38
Y 0.7693 0.7693 0.7307  4 W 3.12, 2 Re 3.21, 6 Y 3.34-3.44
Re 0.5330 0.5330 0.4671  2 W 2.49

Values from the calculation:
Its crystal system is orthorhombic. As for the energy relative to the elements: 199 meV/atom. The space group is Imm2 (44).

=====

No. 12
Here is crystalline Y2ReW at its relaxed geometry from Alexandria. Energies are from PBE.

Unit cell a=4.8621 b=2.9704 c=5.7337 alpha=77.91 beta=90.00 gamma=90.00
With the nearest neighbours (Å) after each atom.
Fractional coordinates of all 4 atoms:
W 0.5000 0.7500 0.7500  2 Re 2.94, 2 W 2.97, 4 Y 3.04
Y 0.0000 0.4639 0.4960  4 Y 2.92-2.97, 2 Re 2.95, 2 W 3.04
Y 0.0000 0.0361 0.0040  4 Y 2.92-2.97, 2 Re 2.95, 2 W 3.04
Re 0.5000 0.2500 0.2500  2 W 2.94, 4 Y 2.95, 2 Re 2.97

Values from the calculation:
Its crystal system is monoclinic. As for the energy relative to the elements: 619 meV/atom. The space group is P2/m (10).

=====

One value per record, in order, for total DFT energy (no corrections): -35.1 -42.5 -43.7 -35.8 -82.0 -43.1 -42.9 -43.1 -35.9 -43.0 -37.5 -35.9 eV per cell.
One value per record, in order, for ΔE to the lowest computed polymorph: 693 315 0 518 677 139 210 136 503 185 87 507 meV per atom.